Entry 1:
The following is a DFT calculation (PBE-GGA) of crystalline BaSm2Ho at its relaxed geometry.

Lattice parameters (Å, degrees): 3.6471 3.6471 38.9941 90.00 90.00 120.00
Space group R-3m (No. 166, hexagonal axes)
Unique sites:
1 Ba 0.0000 0.0000 0.0000 [3 per cell]
2 Sm 0.0000 0.0000 0.0940 [6 per cell]
3 Ho 0.0000 0.0000 0.5000 [3 per cell]

Properties
The value obtained for the total magnetization is 0.0 μB per formula unit. As for the polymorph energy (0 for the lowest one): 75 meV/atom. The calculation puts the formation energy from the elements at 0.8 eV per formula unit.

***

Entry 2:
The following is a DFT calculation (PBE-GGA) of crystalline VPHRuS at its relaxed geometry.

Lattice parameters (Å, degrees): 5.680 4.246 7.052 90.00 105.02 90.00
Space group Cm (No. 8)
Unique sites:
1 V 0.000 0.000 0.000 [2 per cell]
2 P 0.113 0.000 0.335 [2 per cell]
3 H 0.285 0.500 0.492 [2 per cell]
4 Ru 0.203 0.500 0.255 [2 per cell]
5 S 0.080 0.500 0.889 [2 per cell]

Properties
The value obtained for the total magnetization is 0.0 μB per formula unit. As for the polymorph energy (0 for the lowest one): 144 meV/atom.

***

| no. | E_tot (eV for the cell shown) |
| --- | --- |
| 1 | -45.36 |
| 2 | -65.98 |